This record from the Alexandria database describes a geometry-optimized Fe2TcTe structure. The functional is PBE.

Computed properties:
spin magnetization: 1.34 μB/atom
ΔE_f (raw): 0.491 eV/atom

Geometry as CIF:
```
data_Fe2TcTe
_chemical_formula_sum 'Fe2 Tc1 Te1'
_symmetry_space_group_name_H-M 'P 1 2/m 1'
_symmetry_Int_Tables_number 10
_cell_length_a 2.989
_cell_length_b 4.317
_cell_length_c 4.859
_cell_angle_alpha 90.00
_cell_angle_beta 90.50
_cell_angle_gamma 90.00
loop_
_symmetry_equiv_pos_as_xyz
'x,y,z'
'-x,-y,-z'
'-x,y,-z'
'x,-y,z'
loop_
_atom_site_label
_atom_site_type_symbol
_atom_site_fract_x
_atom_site_fract_y
_atom_site_fract_z
Fe1 Fe 0.151 0.000 0.218
Tc1 Tc 0.500 0.500 0.000
Te1 Te 0.000 0.500 0.500
```

=====

This record from the Alexandria database describes a geometry-optimized LaSnRh4 structure. The functional is PBE.

Computed properties:
relative energy among the computed polymorphs: 120.8 meV/atom
formation enthalpy at 0 K: -323.5 meV per atom
spin magnetization: 0.00 μB/atom

Geometry as CIF:
```
data_LaSnRh4
_chemical_formula_sum 'La2 Sn2 Rh8'
_symmetry_space_group_name_H-M 'P m m a'
_symmetry_Int_Tables_number 51
_cell_length_a 7.577
_cell_length_b 4.171
_cell_length_c 7.150
_cell_angle_alpha 90.00
_cell_angle_beta 90.00
_cell_angle_gamma 90.00
loop_
_symmetry_equiv_pos_as_xyz
'x,y,z'
'-x,-y,-z'
'-x+1/2,-y,z'
'x+1/2,y,-z'
'x+1/2,-y,-z'
'-x+1/2,y,z'
'-x,y,-z'
'x,-y,z'
loop_
_atom_site_label
_atom_site_type_symbol
_atom_site_fract_x
_atom_site_fract_y
_atom_site_fract_z
La1 La 0.250 0.000 0.180
Sn1 Sn 0.250 0.000 0.745
Rh1 Rh 0.000 0.000 0.500
Rh2 Rh 0.038 0.500 0.796
Rh3 Rh 0.250 0.500 0.466
```

=====

This record from the Alexandria database describes a geometry-optimized Ca2PaPd3 structure. The functional is PBE.

Computed properties:
formation enthalpy at 0 K: -553.1 meV per atom
spin magnetization: 0.00 μB/atom

Geometry as CIF:
```
data_Ca2PaPd3
_chemical_formula_sum 'Ca2 Pa1 Pd3'
_symmetry_space_group_name_H-M 'P -3 m 1'
_symmetry_Int_Tables_number 164
_symmetry_space_group_name_Hall '-P 3 2"'
_cell_length_a 4.9892
_cell_length_b 4.9892
_cell_length_c 6.0998
_cell_angle_alpha 90.00
_cell_angle_beta 90.00
_cell_angle_gamma 120.00
loop_
_atom_site_label
_atom_site_type_symbol
_atom_site_fract_x
_atom_site_fract_y
_atom_site_fract_z
Ca1 Ca 0.3333 0.6667 0.1412
Pa1 Pa 0.0000 0.0000 0.5000
Pd1 Pd 0.0000 0.0000 0.0000
Pd2 Pd 0.3333 0.6667 0.6185
```

=====

This record from the Alexandria database describes a geometry-optimized SrDyGeN3 structure. The functional is PBE.

Computed properties:
spin magnetization: 0.00 μB/atom
ΔE_f (raw): -0.689 eV/atom

Geometry as CIF:
```
data_SrDyGeN3
_chemical_formula_sum 'Sr2 Dy2 Ge2 N6'
_symmetry_space_group_name_H-M 'P 1 21/m 1'
_symmetry_Int_Tables_number 11
_cell_length_a 7.069
_cell_length_b 3.388
_cell_length_c 9.248
_cell_angle_alpha 90.00
_cell_angle_beta 96.40
_cell_angle_gamma 90.00
loop_
_symmetry_equiv_pos_as_xyz
'x,y,z'
'-x,-y,-z'
'-x,y+1/2,-z'
'x,-y+1/2,z'
loop_
_atom_site_label
_atom_site_type_symbol
_atom_site_fract_x
_atom_site_fract_y
_atom_site_fract_z
Sr1 Sr 0.190 0.250 0.226
Dy1 Dy 0.358 0.750 0.879
Ge1 Ge 0.113 0.250 0.599
N1 N 0.125 0.250 0.793
N2 N 0.155 0.750 0.495
N3 N 0.407 0.750 0.121
```

=====

Number 1: energy -7.1169 eV per atom. Number 2: energy -6.7128 eV per atom. Number 3: energy -5.3993 eV per atom. Number 4: energy -6.6683 eV per atom.